No. 1
The following is a DFT calculation (PBE+U) of an optimized crystal structure of KNa2FeF6.

Calculated values
The calculation puts the total magnetization at 1.00 μB per formula unit.

a b c (Å): 8.642 8.642 8.642
angles (deg): 90.00 90.00 90.00
Space group Fm-3m (No. 225)
Symmetry-distinct sites (fractional):
K (0.000, 0.000, 0.000) [4 per cell]
Na (0.250, 0.250, 0.250) [8 per cell]
Fe (0.000, 0.000, 0.500) [4 per cell]
F (0.000, 0.000, 0.282) [24 per cell]

***

No. 2
The following is a DFT calculation (PBE+U) of an optimized crystal structure of KFeNiF2.

Calculated values
The calculation puts the total magnetization at 5.00 μB per formula unit.

a b c (Å): 4.332 4.332 5.352
angles (deg): 90.00 90.00 90.00
Space group P4/mmm (No. 123)
Symmetry-distinct sites (fractional):
K (0.000, 0.000, 0.000) [1 per cell]
Fe (0.500, 0.500, 0.000) [1 per cell]
Ni (0.000, 0.000, 0.500) [1 per cell]
F (0.000, 0.500, 0.500) [2 per cell]

***

No. 3
The following is a DFT calculation (PBE+U) of an optimized crystal structure of K2Fe3NiF12.

Calculated values
The calculation puts the total magnetization at 16.00 μB per formula unit.

a b c (Å): 7.4690 7.4690 17.8549
angles (deg): 90.00 90.00 120.00
Space group R-3m (No. 166, hexagonal axes)
Symmetry-distinct sites (fractional):
K (0.0000, 0.0000, 0.1554) [6 per cell]
Fe (0.0000, 0.5000, 0.0000) [9 per cell]
Ni (0.0000, 0.0000, 0.5000) [3 per cell]
F (0.0675, 0.5337, 0.1072) [18 per cell]
F (0.0790, 0.5395, 0.3583) [18 per cell]

***

Number 1: E_tot -170.09 eV/cell. Number 2: E_tot -15.24 eV/cell. Number 3: E_tot -267.59 eV/cell.